Record 1
# Ba2Li2PbO4

A relaxed structure of Ba2Li2PbO4 (PBE, Alexandria via LeMat-Bulk).

```
9
Lattice="3.561 0.000 0.000 0.000 6.381 0.187 -1.780 -2.349 6.354" Properties=species:S:1:pos:R:3 pbc="T T T"
O 1.780 4.610 0.677
Li 0.000 4.856 4.242
O 1.780 3.844 3.775
O 0.000 -0.578 5.865
Li 1.780 -0.824 2.299
O 0.000 0.188 2.767
Ba 0.000 2.995 1.839
Ba 1.780 1.037 4.702
Pb 0.000 0.000 0.000
```

Properties
Space group ... C2/m
E_form (uncorrected) ... -1.82 eV per atom
Crystal system ... monoclinic



Record 2
# BaZn3Pt

A relaxed structure of BaZn3Pt (PBE, Alexandria via LeMat-Bulk).

```
20
Lattice="-15.951 10.193 -13.924 -3.318 -6.133 -0.689 4.219 -3.097 7.252" Properties=species:S:1:pos:R:3 pbc="T T T"
Zn -2.292 -1.856 1.303
Pt -9.398 -1.048 -3.813
Zn -7.658 -2.521 -2.547
Zn -11.591 6.242 -9.122
Zn -1.346 0.345 0.013
Ba -4.931 0.563 -0.787
Zn -13.704 0.618 -7.374
Pt -3.070 -3.744 -0.381
Zn -7.392 3.484 -4.814
Ba -14.858 7.502 -11.342
Zn -3.459 -5.279 1.761
Ba -0.193 -6.538 3.981
Zn -12.758 2.819 -8.664
Pt -11.980 4.707 -6.980
Zn -8.555 1.411 -3.602
Ba -10.119 0.400 -6.574
Pt -5.653 2.011 -3.548
Zn -6.495 -0.448 -3.759
Zn 1.910 -4.610 5.611
Zn -16.960 5.573 -12.972
```

Properties
Space group ... P2_1/c
Crystal system ... monoclinic



no.,uncorrected energy (Ha/atom)
1,-0.1945
2,-0.0990